# 1
# TaV2BCl

Crystalline TaV2BCl at its relaxed geometry (PBE, the Alexandria database).

Results
E_form (uncorrected): 2.01 eV per atom
Crystal system: tetragonal
DFT total energy: -5.71 eV per atom

Lattice parameters (Å, degrees): 4.894 4.894 4.604 90.00 90.00 90.00
Space group P4/mmm (No. 123)
Symmetry-distinct sites (fractional):
Ta 0.000 0.000 0.000 (multiplicity 1)
V 0.000 0.500 0.000 (multiplicity 2)
B 0.500 0.500 0.500 (multiplicity 1)
Cl 0.000 0.000 0.500 (multiplicity 1)

***

# 2
# TbB2Cl8

Crystalline TbB2Cl8 at its relaxed geometry (PBE, the Alexandria database).

Results
E_form (uncorrected): -1.13 eV per atom
Crystal system: monoclinic
DFT total energy: -4.11 eV per atom

Lattice parameters (Å, degrees): 12.261 9.677 5.927 90.00 99.81 90.00
Space group C2/m (No. 12)
Symmetry-distinct sites (fractional):
Tb 0.000 0.000 0.000 (multiplicity 2)
B 0.199 0.000 0.655 (multiplicity 4)
Cl 0.121 0.155 0.742 (multiplicity 8)
Cl 0.158 0.500 0.217 (multiplicity 4)
Cl 0.190 0.000 0.326 (multiplicity 4)

***

# 3
# Tb4BCl5

Crystalline Tb4BCl5 at its relaxed geometry (PBE, the Alexandria database).

Results
E_form (uncorrected): -1.67 eV per atom
Crystal system: monoclinic
DFT total energy: -5.11 eV per atom

Lattice parameters (Å, degrees): 17.350 3.844 7.909 90.00 103.54 90.00
Space group C2/m (No. 12)
Symmetry-distinct sites (fractional):
Tb 0.001 0.000 0.282 (multiplicity 4)
Tb 0.147 0.500 0.583 (multiplicity 4)
B 0.000 0.500 0.500 (multiplicity 2)
Cl 0.000 0.500 0.000 (multiplicity 2)
Cl 0.165 0.000 0.834 (multiplicity 4)
Cl 0.171 0.000 0.345 (multiplicity 4)

***

# 4
# Tb7BCl12

Crystalline Tb7BCl12 at its relaxed geometry (PBE, the Alexandria database).

Results
E_form (uncorrected): -1.90 eV per atom
Crystal system: trigonal
DFT total energy: -4.97 eV per atom

Lattice parameters (Å, degrees): 14.0077 14.0077 9.4738 90.00 90.00 120.00
Space group R-3 (No. 148, hexagonal axes)
Symmetry-distinct sites (fractional):
Tb 0.0000 0.0000 0.0000 (multiplicity 3)
Tb 0.0436 0.8785 0.3468 (multiplicity 18)
B 0.0000 0.0000 0.5000 (multiplicity 3)
Cl 0.0250 0.4395 0.1629 (multiplicity 18)
Cl 0.0477 0.8690 0.8386 (multiplicity 18)

***

# 5
# Tb4B2Cl5

Crystalline Tb4B2Cl5 at its relaxed geometry (PBE, the Alexandria database).

Results
ΔE to the lowest computed polymorph: 24 meV/atom
E_form (uncorrected): -1.47 eV per atom
Crystal system: orthorhombic
DFT total energy: -5.21 eV per atom

Lattice parameters (Å, degrees): 3.827 7.625 18.706 90.00 90.00 90.00
Space group Immm (No. 71)
Symmetry-distinct sites (fractional):
Tb 0.000 0.000 0.165 (multiplicity 4)
Tb 0.000 0.288 0.500 (multiplicity 4)
B 0.000 0.000 0.042 (multiplicity 4)
Cl 0.000 0.244 0.332 (multiplicity 8)
Cl 0.000 0.500 0.000 (multiplicity 2)

***

# 6
# Tb4B2Cl5

Crystalline Tb4B2Cl5 at its relaxed geometry (PBE, the Alexandria database).

Results
ΔE to the lowest computed polymorph: 0 meV/atom
E_form (uncorrected): -1.49 eV per atom
Crystal system: monoclinic
DFT total energy: -5.23 eV per atom

Lattice parameters (Å, degrees): 20.538 3.791 7.706 90.00 93.31 90.00
Space group C2/m (No. 12)
Symmetry-distinct sites (fractional):
Tb 0.008 0.000 0.213 (multiplicity 4)
Tb 0.154 0.500 0.055 (multiplicity 4)
B 0.039 0.500 0.001 (multiplicity 4)
Cl 0.000 0.500 0.500 (multiplicity 2)
Cl 0.147 0.000 0.307 (multiplicity 4)
Cl 0.199 0.000 0.837 (multiplicity 4)